(1)
Material: Na3GeOs
Method: DFT, PBE
State: optimized geometry

a = 5.4879 Å, b = 5.4879 Å, c = 5.4879 Å
α = 90.00°, β = 90.00°, γ = 90.00°
Closest atoms and distances in Å follow each position.
Space group Pm-3m (No. 221)
Inequivalent atoms, fractional coordinates:
Na 0.0000 0.0000 0.5000  2 Ge 2.74
Ge 0.0000 0.0000 0.0000  6 Na 2.74
Os 0.5000 0.5000 0.5000  12 Na 3.88

Results
N(E_F): 12.63 states/eV per cell
Energy above the lowest structure with this stoichiometry: 0 meV per atom
Energy relative to the elements: 714 kJ/mol of formula units

(2)
Material: PSe2Br
Method: DFT, PBE
State: optimized geometry

a = 3.6189 Å, b = 8.8525 Å, c = 7.6471 Å
α = 90.00°, β = 90.00°, γ = 90.00°
Closest atoms and distances in Å follow each position.
Space group Cmm2 (No. 35)
Inequivalent atoms, fractional coordinates:
P 0.0000 0.0000 0.0000  2 Se 2.41, 2 Br 2.65
Se 0.0000 0.0000 0.4572  2 Se 2.62, 2 Br 2.86
Se 0.0000 0.5000 0.2086  2 P 2.41, 2 Se 2.62
Br 0.0000 0.5000 0.7463  2 P 2.65, 2 Se 2.86

Results
N(E_F): 6.71 states/eV per cell
Formation energy from raw total energies: 421.4 meV per atom
Energy above the lowest structure with this stoichiometry: 440 meV per atom

(3)
Material: Sc2BeMo
Method: DFT, PBE
State: optimized geometry

a = 4.0170 Å, b = 4.0170 Å, c = 8.4923 Å
α = 90.00°, β = 90.00°, γ = 90.00°
Closest atoms and distances in Å follow each position.
Space group I-4m2 (No. 119)
Inequivalent atoms, fractional coordinates:
Sc 0.0000 0.0000 0.0000  4 Mo 2.84, 4 Be 2.92, 4 Sc 2.92
Sc 0.0000 0.5000 0.2500  4 Be 2.84, 4 Mo 2.92, 4 Sc 2.92
Be 0.0000 0.5000 0.7500  8 Sc 2.84-2.92, 4 Mo 2.92
Mo 0.0000 0.0000 0.5000  8 Sc 2.84-2.92, 4 Be 2.92

Results
N(E_F): 2.83 states/eV per cell
Energy relative to the elements: 61 kJ/mol of formula units

(4)
Material: ThAg2Hg
Method: DFT, PBE
State: optimized geometry

a = 4.6749 Å, b = 4.6749 Å, c = 4.4289 Å
α = 90.00°, β = 90.00°, γ = 90.00°
Closest atoms and distances in Å follow each position.
Space group P4/mmm (No. 123)
Inequivalent atoms, fractional coordinates:
Th 0.0000 0.0000 0.0000  8 Ag 3.22, 4 Hg 3.31
Ag 0.0000 0.5000 0.5000  4 Hg 3.22, 4 Th 3.22, 4 Ag 3.31
Hg 0.5000 0.5000 0.0000  8 Ag 3.22, 4 Th 3.31

Results
N(E_F): 4.41 states/eV per cell
Energy relative to the elements: 22 kJ/mol of formula units

(5)
Material: Y2HoSnC
Method: DFT, PBE
State: optimized geometry

a = 4.8968 Å, b = 4.8968 Å, c = 4.8707 Å
α = 90.00°, β = 90.00°, γ = 90.00°
Closest atoms and distances in Å follow each position.
Space group P4/mmm (No. 123)
Inequivalent atoms, fractional coordinates:
Y 0.0000 0.5000 0.0000  2 C 2.45
Ho 0.0000 0.0000 0.5000  2 C 2.44
Sn 0.5000 0.5000 0.5000  8 Y 3.45, 4 Ho 3.46
C 0.0000 0.0000 0.0000  2 Ho 2.44, 4 Y 2.45

Results
N(E_F): 2.29 states/eV per cell
Energy relative to the elements: -315 kJ/mol of formula units

(6)
Material: NaAcRh4O8
Method: DFT, PBE
State: optimized geometry

a = 6.2956 Å, b = 6.2956 Å, c = 17.4786 Å
α = 90.00°, β = 90.00°, γ = 120.00°
Closest atoms and distances in Å follow each position.
Space group R3m (No. 160, hexagonal axes)
Inequivalent atoms, fractional coordinates:
Na 0.0000 0.0000 0.0000  6 O 2.55-2.59
Ac 0.0000 0.0000 0.3467  4 O 2.28-2.43
Rh 0.0000 0.0000 0.5103  6 O 2.07-2.20
Rh 0.0074 0.5037 0.4993  6 O 2.03-2.12
O 0.0000 0.0000 0.2162  3 Rh 2.06, 1 Ac 2.28
O 0.0000 0.0000 0.7764  3 Rh 2.03
O 0.9998 0.4999 0.7724  3 Rh 2.12-2.20
O 0.1709 0.3418 0.5618  3 Rh 2.07-2.08

Results
Formation energy from raw total energies: -1170.8 meV per atom

(7)
Material: AcErPt4
Method: DFT, PBE
State: optimized geometry

a = 7.8377 Å, b = 7.8377 Å, c = 7.8377 Å
α = 90.00°, β = 90.00°, γ = 90.00°
Closest atoms and distances in Å follow each position.
Space group F-43m (No. 216)
Inequivalent atoms, fractional coordinates:
Ac 0.0000 0.0000 0.0000  12 Pt 3.25, 4 Er 3.39
Er 0.2500 0.2500 0.2500  12 Pt 3.25, 4 Ac 3.39
Pt 0.1244 0.1244 0.6244  6 Pt 2.76-2.78

Results
N(E_F): 8.76 states/eV per cell
Energy relative to the elements: -602 kJ/mol of formula units

(8)
Material: RbMn2CuTe4
Method: DFT, PBE
State: optimized geometry

a = 4.1553 Å, b = 14.5602 Å, c = 14.9447 Å
α = 90.00°, β = 90.00°, γ = 90.00°
Closest atoms and distances in Å follow each position.
Space group Cmcm (No. 63)
Inequivalent atoms, fractional coordinates:
Rb 0.0000 0.1213 0.2500  6 Te 3.48-3.62, 2 Cu 3.67
Mn 0.0000 0.3732 0.0635  6 Te 2.79-2.98
Cu 0.0000 0.1708 0.7500  4 Te 2.54-2.58
Te 0.0000 0.0000 0.0000  4 Mn 2.94
Te 0.0000 0.2506 0.5960  1 Cu 2.58, 2 Mn 2.79
Te 0.0000 0.4296 0.2500  2 Cu 2.54

Results
N(E_F): 12.07 states/eV per cell
Formation energy from raw total energies: -243.6 meV per atom

(9)
Material: Hf2UP4Pd
Method: DFT, PBE
State: optimized geometry

a = 3.7365 Å, b = 12.4424 Å, c = 12.9384 Å
α = 90.00°, β = 90.00°, γ = 90.00°
Closest atoms and distances in Å follow each position.
Space group Cmcm (No. 63)
Inequivalent atoms, fractional coordinates:
Hf 0.0000 0.1305 0.0638  6 P 2.60-2.70
U 0.0000 0.3755 0.2500  6 P 2.70-2.82
P 0.0000 0.0318 0.2500  2 Pd 2.35
P 0.0000 0.2225 0.6170  1 Pd 2.37, 1 Hf 2.60
P 0.0000 0.5000 0.0000  4 Hf 2.61
Pd 0.0000 0.3535 0.7500  4 P 2.35-2.37

Results
N(E_F): 21.53 states/eV per cell
Energy relative to the elements: -748 kJ/mol of formula units

(10)
Material: BeZnRe2
Method: DFT, PBE
State: optimized geometry

a = 2.6190 Å, b = 4.1464 Å, c = 5.0805 Å
α = 90.00°, β = 100.60°, γ = 90.00°
Closest atoms and distances in Å follow each position.
Space group P2/m (No. 10)
Inequivalent atoms, fractional coordinates:
Be 0.0000 0.0000 0.0000  4 Re 2.54, 2 Be 2.62, 2 Zn 2.64
Zn 0.5000 0.0000 0.5000  4 Re 2.61, 2 Zn 2.62, 2 Be 2.64
Re 0.2385 0.5000 0.7589  2 Be 2.54, 4 Re 2.58-2.70, 2 Zn 2.61

Results
N(E_F): 1.93 states/eV per cell
Energy relative to the elements: 98 kJ/mol of formula units

(11)
Material: Ba2LaW
Method: DFT, PBE
State: optimized geometry

a = 8.2025 Å, b = 8.2025 Å, c = 8.2025 Å
α = 90.00°, β = 90.00°, γ = 90.00°
Closest atoms and distances in Å follow each position.
Space group Fm-3m (No. 225)
Inequivalent atoms, fractional coordinates:
Ba 0.2500 0.2500 0.2500  4 La 3.55, 4 W 3.55
La 0.0000 0.0000 0.0000  8 Ba 3.55
W 0.0000 0.0000 0.5000  8 Ba 3.55

Results
N(E_F): 32.66 states/eV per cell
Energy above the lowest structure with this stoichiometry: 464 meV per atom
Energy relative to the elements: 462 kJ/mol of formula units

(12)
Material: K2RbNp3S8
Method: DFT, PBE
State: optimized geometry

a = 8.1922 Å, b = 8.1922 Å, c = 22.9860 Å
α = 90.00°, β = 90.00°, γ = 120.00°
Closest atoms and distances in Å follow each position.
Space group R3m (No. 160, hexagonal axes)
Inequivalent atoms, fractional coordinates:
K 0.0000 0.0000 0.0000  4 S 3.07-3.25
K 0.0000 0.0000 0.3697  6 S 3.22
Rb 0.0000 0.0000 0.7363  4 S 3.14-3.22
Np 0.0005 0.5003 0.8699  6 S 2.63-2.76
S 0.0000 0.0000 0.1414  3 Np 2.76
S 0.0000 0.0000 0.5964  3 Np 2.74
S 0.0396 0.5198 0.1433  2 Np 2.63
S 0.1848 0.3695 0.9303  2 Np 2.64

Results
N(E_F): 73.31 states/eV per cell
Formation energy from raw total energies: -1270.3 meV per atom

(13)
Material: Nd12Hg3N5
Method: DFT, PBE
State: optimized geometry

a = 16.1994 Å, b = 16.1994 Å, c = 16.1994 Å
α = 90.00°, β = 90.00°, γ = 90.00°
Closest atoms and distances in Å follow each position.
Space group Ia-3d (No. 230)
Inequivalent atoms, fractional coordinates:
Nd 0.0374 0.0504 0.6476  2 N 2.33-2.60
Hg 0.0000 0.2500 0.1250  8 Nd 3.21-3.31
N 0.0000 0.0000 0.0000  6 Nd 2.60
N 0.0000 0.2500 0.3750  4 Nd 2.33

Results
N(E_F): 143.51 states/eV per cell
Formation energy from raw total energies: -715.2 meV per atom

(14)
Material: CeTmPa2
Method: DFT, PBE
State: optimized geometry

a = 3.8930 Å, b = 3.8930 Å, c = 25.7675 Å
α = 90.00°, β = 90.00°, γ = 120.00°
Closest atoms and distances in Å follow each position.
Space group R3m (No. 160, hexagonal axes)
Inequivalent atoms, fractional coordinates:
Ce 0.0000 0.0000 0.0000  6 Pa 2.76-2.79
Tm 0.0000 0.0000 0.1652  6 Pa 3.48-3.50, 6 Tm 3.89
Pa 0.0000 0.0000 0.3954  3 Ce 2.76
Pa 0.0000 0.0000 0.6027  3 Ce 2.79

Results
N(E_F): 31.86 states/eV per cell
Energy above the lowest structure with this stoichiometry: 460 meV per atom
Energy relative to the elements: 231 kJ/mol of formula units

(15)
Material: Sm3SiN
Method: DFT, PBE
State: optimized geometry

a = 4.8023 Å, b = 4.8476 Å, c = 10.6104 Å
α = 90.00°, β = 103.07°, γ = 90.00°
Closest atoms and distances in Å follow each position.
Space group P2_1/m (No. 11)
Inequivalent atoms, fractional coordinates:
Sm 0.0594 0.2500 0.1185  3 N 2.43-2.66
Sm 0.1917 0.7500 0.3851  1 N 2.55
Sm 0.4251 0.2500 0.8503  2 N 2.40
Si 0.3360 0.7500 0.6734  5 Sm 2.98-3.23
N 0.0694 0.7500 0.1386  6 Sm 2.40-2.66

Results
N(E_F): 5.62 states/eV per cell
Formation energy from raw total energies: -799.3 meV per atom

(16)
Material: CrSiPt4
Method: DFT, PBE
State: optimized geometry

a = 7.4407 Å, b = 7.4407 Å, c = 7.4407 Å
α = 90.00°, β = 90.00°, γ = 90.00°
Closest atoms and distances in Å follow each position.
Space group F-43m (No. 216)
Inequivalent atoms, fractional coordinates:
Cr 0.0000 0.0000 0.0000  12 Pt 3.08, 4 Si 3.22
Si 0.2500 0.2500 0.2500  12 Pt 3.08, 4 Cr 3.22
Pt 0.1251 0.1251 0.6251  6 Pt 2.63

Results
N(E_F): 23.46 states/eV per cell
Formation energy from raw total energies: 179.6 meV per atom

Record-wise magnetization values, in μB/atom: 1.0000; 0.0000; 0.0000; 0.0002; 0.0000; 0.0000; 0.0000; 1.0078; 0.2012; 0.0000; 0.4382; 0.5714; 0.0000; 0.0015; 0.0000; 0.7152